The following is a DFT calculation (PBE) of TmCd3Pb4O12 after structural relaxation.

**Total DFT energy (no corrections)**: -5.21 eV per atom

Cell lengths 7.1339, 7.1339, 7.1339 Å; angles 109.47, 109.47, 109.47 degrees
Element x y z (fractional)
Cd: 0.5000 0.5000 0.0000
Cd: 0.5000 0.0000 0.5000
Cd: 0.0000 0.5000 0.5000
O: 0.2863 0.8312 0.1175
O: 0.4550 0.2863 0.1688
O: 0.8825 0.7137 0.1688
O: 0.8312 0.1175 0.2863
O: 0.1688 0.4550 0.2863
O: 0.2863 0.1688 0.4550
O: 0.7137 0.8312 0.5450
O: 0.8312 0.5450 0.7137
O: 0.1688 0.8825 0.7137
O: 0.1175 0.2863 0.8312
O: 0.5450 0.7137 0.8312
O: 0.7137 0.1688 0.8825
Pb: 0.5000 0.0000 0.0000
Pb: 0.0000 0.5000 0.0000
Pb: 0.0000 0.0000 0.5000
Pb: 0.5000 0.5000 0.5000
Tm: 0.0000 0.0000 0.0000